# 1
Compound: BaScF2
Source: Alexandria via LeMat-Bulk
Functional: GGA-PBE
Structure: relaxed

Values from the calculation:
Its polymorph energy (0 for the lowest one) is 0.75 eV per formula unit. The calculation puts the formation energy from raw total energies at -2.42 eV/atom. The calculation puts the total energy at -0.3982 Ry/atom. Its theoretical density is 4.305 Mg/m³.

abc: 3.8251 3.8251 20.1175
angles: 90.00 90.00 120.00
Space group R-3m (No. 166, hexagonal axes)
Symmetry-distinct sites (fractional):
Ba: 0.0000 0.0000 0.0000 (multiplicity 3)
Sc: 0.0000 0.0000 0.5000 (multiplicity 3)
F: 0.0000 0.0000 0.1383 (multiplicity 6)

=====

# 2
Compound: Ag2SBr
Source: Alexandria via LeMat-Bulk
Functional: GGA-PBE
Structure: relaxed

Values from the calculation:
Its polymorph energy (0 for the lowest one) is 0.23 eV per formula unit. The calculation puts the formation energy from raw total energies at -0.01 eV/atom. The calculation puts the total energy at -0.2124 Ry/atom. Its theoretical density is 6.247 Mg/m³.

abc: 3.8065 3.8065 20.8261
angles: 90.00 90.00 120.00
Space group R3m (No. 160, hexagonal axes)
Symmetry-distinct sites (fractional):
Ag: 0.0000 0.0000 0.0000 (multiplicity 3)
Ag: 0.0000 0.0000 0.1937 (multiplicity 3)
S: 0.0000 0.0000 0.5959 (multiplicity 3)
Br: 0.0000 0.0000 0.7687 (multiplicity 3)

=====

# 3
Compound: TmSnRu2
Source: Alexandria via LeMat-Bulk
Functional: GGA-PBE
Structure: relaxed

Values from the calculation:
As for the formation energy: -0.347 eV/atom. The calculation puts the total energy at -0.5221 Ry/atom. Its theoretical density is 11.386 Mg/m³.

abc: 3.312 3.312 6.511
angles: 90.00 90.00 90.00
Space group P4/mmm (No. 123)
Symmetry-distinct sites (fractional):
Tm: 0.000 0.000 0.000 (multiplicity 1)
Sn: 0.000 0.000 0.500 (multiplicity 1)
Ru: 0.500 0.500 0.268 (multiplicity 2)

=====

# 4
Compound: Hf2ZrO
Source: Alexandria via LeMat-Bulk
Functional: GGA-PBE
Structure: relaxed

Values from the calculation:
The calculation puts the formation energy from raw total energies at -0.84 eV/atom. The calculation puts the total energy at -0.6759 Ry/atom. Its theoretical density is 10.421 Mg/m³.

abc: 3.2027 3.2027 24.9812
angles: 90.00 90.00 120.00
Space group R-3m (No. 166, hexagonal axes)
Symmetry-distinct sites (fractional):
Hf: 0.0000 0.0000 0.1154 (multiplicity 6)
Zr: 0.0000 0.0000 0.0000 (multiplicity 3)
O: 0.0000 0.0000 0.5000 (multiplicity 3)

=====

# 5
Compound: CsTlAu2Cl
Source: Alexandria via LeMat-Bulk
Functional: GGA-PBE
Structure: relaxed

Values from the calculation:
The calculation puts the formation energy from raw total energies at 0.19 eV/atom. The calculation puts the total energy at -0.1567 Ry/atom. Its theoretical density is 7.122 Mg/m³.

abc: 5.430 5.430 6.062
angles: 90.00 90.00 90.00
Space group P4/mmm (No. 123)
Symmetry-distinct sites (fractional):
Cs: 0.000 0.000 0.000 (multiplicity 1)
Tl: 0.500 0.500 0.000 (multiplicity 1)
Au: 0.000 0.500 0.500 (multiplicity 2)
Cl: 0.000 0.000 0.500 (multiplicity 1)

=====

# 6
Compound: CaMnCu
Source: Alexandria via LeMat-Bulk
Functional: GGA-PBE
Structure: relaxed

Values from the calculation:
As for the formation energy: 0.249 eV/atom. The calculation puts the total energy at -0.3557 Ry/atom. Its theoretical density is 4.129 Mg/m³.

abc: 4.3055 4.3055 3.9720
angles: 90.00 90.00 120.00
Space group P-6m2 (No. 187)
Symmetry-distinct sites (fractional):
Ca: 0.0000 0.0000 0.0000 (multiplicity 1)
Mn: 0.3333 0.6667 0.5000 (multiplicity 1)
Cu: 0.6667 0.3333 0.5000 (multiplicity 1)

=====

# 7
Compound: CdSb2Cl
Source: Alexandria via LeMat-Bulk
Functional: GGA-PBE
Structure: relaxed

Values from the calculation:
Its polymorph energy (0 for the lowest one) is 1.42 eV per formula unit. The calculation puts the formation energy from raw total energies at 0.07 eV/atom. The calculation puts the total energy at -0.1971 Ry/atom. Its theoretical density is 6.428 Mg/m³.

abc: 3.4469 3.4469 29.4770
angles: 90.00 90.00 120.00
Space group R-3m (No. 166, hexagonal axes)
Symmetry-distinct sites (fractional):
Cd: 0.0000 0.0000 0.0000 (multiplicity 3)
Sb: 0.0000 0.0000 0.2487 (multiplicity 6)
Cl: 0.0000 0.0000 0.5000 (multiplicity 3)

=====

# 8
Compound: HgS2N2
Source: Alexandria via LeMat-Bulk
Functional: GGA-PBE
Structure: relaxed

Values from the calculation:
Its polymorph energy (0 for the lowest one) is 0.00 eV per formula unit. The calculation puts the formation energy from raw total energies at 1.39 eV/atom. The calculation puts the total energy at -0.2685 Ry/atom. Its theoretical density is 5.111 Mg/m³.

abc: 3.544 3.544 7.572
angles: 90.00 90.00 90.00
Space group P4/mmm (No. 123)
Symmetry-distinct sites (fractional):
Hg: 0.000 0.000 0.000 (multiplicity 1)
S: 0.500 0.500 0.000 (multiplicity 1)
S: 0.500 0.500 0.500 (multiplicity 1)
N: 0.000 0.500 0.500 (multiplicity 2)

=====

# 9
Compound: FeCu2Ni2
Source: Alexandria via LeMat-Bulk
Functional: GGA-PBE
Structure: relaxed

Values from the calculation:
Its polymorph energy (0 for the lowest one) is 0.70 eV per formula unit. As for the formation energy: 0.368 eV/atom. The calculation puts the total energy at -0.3878 Ry/atom. Its theoretical density is 7.798 Mg/m³.

abc: 3.273 3.273 11.940
angles: 90.00 90.00 90.00
Space group I4/mmm (No. 139)
Symmetry-distinct sites (fractional):
Fe: 0.000 0.000 0.000 (multiplicity 2)
Cu: 0.000 0.500 0.250 (multiplicity 4)
Ni: 0.000 0.000 0.404 (multiplicity 4)

=====

# 10
Compound: ZrSi2Ir4
Source: Alexandria via LeMat-Bulk
Functional: GGA-PBE
Structure: relaxed

Values from the calculation:
Its polymorph energy (0 for the lowest one) is 0.00 eV per formula unit. The calculation puts the formation energy from raw total energies at -0.73 eV/atom. The calculation puts the total energy at -0.6297 Ry/atom. Its theoretical density is 14.378 Mg/m³.

abc: 17.630 4.130 5.814
angles: 90.00 90.00 90.00
Space group Pnma (No. 62)
Symmetry-distinct sites (fractional):
Zr: 0.128 0.250 0.043 (multiplicity 4)
Si: 0.043 0.750 0.273 (multiplicity 4)
Si: 0.205 0.250 0.605 (multiplicity 4)
Ir: 0.035 0.750 0.852 (multiplicity 4)
Ir: 0.076 0.250 0.517 (multiplicity 4)
Ir: 0.182 0.750 0.351 (multiplicity 4)
Ir: 0.201 0.750 0.824 (multiplicity 4)

=====

# 11
Compound: FeBC2
Source: Alexandria via LeMat-Bulk
Functional: GGA-PBE
Structure: relaxed

Values from the calculation:
As for the formation energy: 0.645 eV/atom. The calculation puts the total energy at -0.5697 Ry/atom. Its theoretical density is 4.490 Mg/m³.

abc: 4.106 4.106 7.955
angles: 90.00 90.00 90.00
Space group I-42d (No. 122)
Symmetry-distinct sites (fractional):
Fe: 0.000 0.000 0.000 (multiplicity 4)
B: 0.000 0.000 0.500 (multiplicity 4)
C: 0.208 0.250 0.625 (multiplicity 8)

=====

# 12
Compound: Mn2NbCoNi
Source: Alexandria via LeMat-Bulk
Functional: GGA-PBE
Structure: relaxed

Values from the calculation:
As for the formation energy: 0.898 eV/atom. The calculation puts the total energy at -0.5410 Ry/atom. Its theoretical density is 6.709 Mg/m³.

abc: 4.357 4.357 4.177
angles: 90.00 90.00 90.00
Space group P4/mmm (No. 123)
Symmetry-distinct sites (fractional):
Mn: 0.000 0.500 0.000 (multiplicity 2)
Nb: 0.000 0.000 0.500 (multiplicity 1)
Co: 0.500 0.500 0.000 (multiplicity 1)
Ni: 0.500 0.500 0.500 (multiplicity 1)